# TlReAg2

TlReAg2 at its PBEsol-relaxed geometry (SCAN, Alexandria via LeMat-Bulk).

abc: 2.8198 4.9703 5.0048
angles: 90.00 91.96 90.00
Space group P2/m (No. 10)
Asymmetric unit:
1 Tl 0.0000 0.0000 0.0000 [1 per cell]
2 Re 0.5000 0.0000 0.5000 [1 per cell]
3 Ag 0.2328 0.5000 0.7371 [2 per cell]

Calculated volume ... 17.526 A^3/atom
Density ... 14.362 g/cm³
Polymorph energy (0 for the lowest one) ... 0.1184 eV per atom
DFT formation energy ... 0.79 eV/atom